Entry from the Alexandria database: a relaxed structure of TcWO6 (PBE with a Hubbard U).

- crystal system = triclinic
- energy above the lowest structure with this stoichiometry (meV/atom) = 0
- calculated volume (Å³/f.u.) = 112
- DOS(E_F) (states/eV/cell) = 3.2
- spin magnetization (μB per atom) = 0.000
- SG = P-1

a b c (Å): 5.411 5.411 5.412
angles (deg): 60.00 60.00 60.00
Sites, in units of the cell vectors:
Tc (0.000, 0.000, 0.000)
W (0.500, 0.500, 0.500)
O (0.242, 0.254, 0.751)
O (0.751, 0.242, 0.754)
O (0.748, 0.247, 0.248)
O (0.249, 0.758, 0.246)
O (0.758, 0.746, 0.249)
O (0.252, 0.753, 0.752)